First-principles (GGA-PBE) data for a geometry-optimized AcTbSm structure, as listed in OQMD via LeMat-Bulk.

Results
- Total energy: -11.39 eV for the cell shown
- Energy above the lowest structure with this stoichiometry: 0.00 eV/f.u.

Lattice parameters (Å, degrees): 5.6795 5.6795 5.6795 60.00 60.00 60.00
Closest atoms and distances in Å follow each position.
Atoms (fractional coordinates):
Tb: 0.7500 0.7500 0.7500  4 Sm 3.48
Sm: 0.0000 0.0000 0.0000  4 Ac 3.48, 4 Tb 3.48
Ac: 0.2500 0.2500 0.2500  4 Sm 3.48